--- P ---
Material: RbLi3As
Method: DFT, PBE-GGA
State: optimized geometry

Its space group is Pm-3m, No. 221.

```
5
Lattice="5.1338 0.0000 0.0000 0.0000 5.1338 0.0000 0.0000 0.0000 5.1338" Properties=species:S:1:pos:R:3 pbc="T T T"
Li 0.0000 2.5669 0.0000
Li 2.5669 0.0000 0.0000
Li 0.0000 0.0000 2.5669
Rb 0.0000 0.0000 0.0000
As 2.5669 2.5669 2.5669
```

--- Q ---
Material: RbLi3As
Method: DFT, PBE-GGA
State: optimized geometry

Its space group is Pm-3m, No. 221.

```
5
Lattice="5.0987 0.0000 0.0000 0.0000 5.0987 0.0000 0.0000 0.0000 5.0987" Properties=species:S:1:pos:R:3 pbc="T T T"
As 0.0000 0.0000 0.0000
Li 0.0000 0.0000 2.5493
Li 2.5493 0.0000 0.0000
Li 0.0000 2.5493 0.0000
Rb 2.5493 2.5493 2.5493
```

Relative calculated energies, zero for the most stable structure, unit meV/atom: P 1147; Q 0.

--- P ---
Material: RbLiAsSe2
Method: DFT, PBE-GGA
State: optimized geometry

Its space group is P4/mmm, No. 123.

```
5
Lattice="-0.8990 0.6200 -6.1730 0.8228 -6.1704 -0.7396 -6.3199 -0.9417 0.8258" Properties=species:S:1:pos:R:3 pbc="T T T"
Se 0.4114 -3.0852 -0.3698
Se -0.4495 0.3100 -3.0865
Li -3.1981 -3.2461 -3.0434
Rb 0.0000 0.0000 0.0000
As -3.1600 -0.4709 0.4129
```

--- Q ---
Material: RbLiAsSe2
Method: DFT, PBE-GGA
State: optimized geometry

Its space group is Cmme, No. 67.

```
10
Lattice="6.6692 0.0000 0.0000 0.0000 5.4676 0.0000 0.0000 -2.7338 7.6336" Properties=species:S:1:pos:R:3 pbc="T T T"
Rb 5.0173 0.0000 3.8168
Rb 1.6519 2.7338 3.8168
Se 1.9267 0.0000 1.6960
Se 4.7425 2.7338 5.9376
Se 1.9267 0.0000 5.9376
Se 4.7425 2.7338 1.6960
Li 3.3346 4.1007 0.0000
Li 3.3346 1.3669 0.0000
As 0.0000 2.7338 0.0000
As 0.0000 0.0000 0.0000
```

--- R ---
Material: RbLiAsSe2
Method: DFT, PBE-GGA
State: optimized geometry

Its space group is P4/mmm, No. 123.

```
5
Lattice="5.1013 0.0000 0.0000 0.0000 5.1013 0.0000 0.0000 0.0000 4.7588" Properties=species:S:1:pos:R:3 pbc="T T T"
Li 0.0000 0.0000 0.0000
As 0.0000 0.0000 2.3794
Rb 2.5506 2.5506 2.3794
Se 0.0000 2.5506 0.0000
Se 2.5506 0.0000 0.0000
```

Relative calculated energies, zero for the most stable structure, unit meV/atom: P 1372; Q 0; R 438.

--- P ---
Material: LiReAs
Method: DFT, PBE-GGA
State: optimized geometry

Its space group is P4/nmm, No. 129.

```
6
Lattice="3.9465 0.0000 0.0000 0.0000 3.9465 0.0000 0.0000 0.0000 6.4687" Properties=species:S:1:pos:R:3 pbc="T T T"
As 0.0000 1.9733 1.6110
As 1.9733 0.0000 4.8576
Re 0.0000 0.0000 3.2343
Re 1.9733 1.9733 3.2343
Li 0.0000 1.9733 5.4129
Li 1.9733 0.0000 1.0557
```

--- Q ---
Material: LiReAs
Method: DFT, PBE-GGA
State: optimized geometry

Its space group is P-6m2, No. 187.

```
3
Lattice="4.3967 0.0000 0.0000 -2.1984 3.8077 0.0000 0.0000 0.0000 2.6373" Properties=species:S:1:pos:R:3 pbc="T T T"
Li 2.1984 1.2692 0.8789
As 0.0000 0.0000 2.1989
Re 0.0000 2.5385 2.1969
```

Relative calculated energies, zero for the most stable structure, unit meV/atom: P 0; Q 298.